[1]
Crystalline MgTaTe2 at its relaxed geometry. Source: Alexandria via LeMat-Bulk, functional PBE-GGA.

Results
Density of states at the Fermi level ... 0.6121 states/eV per atom
Calculated volume ... 23.89 A^3/atom
Total DFT energy (no corrections) ... -20.23 eV/cell
Formation energy from raw total energies ... -124 meV/atom
Size of the total moment ... 0.00 μB per cell

Cell lengths 7.4360, 7.4360, 7.4360 Å; angles 151.66, 150.62, 41.28 degrees
Closest atoms and distances in Å follow each position.
Sites, in units of the cell vectors:
1 Mg 0.4576 0.4576 0.0000  6 Te 2.92-3.01
2 Ta 0.2030 0.7030 0.5000  6 Te 2.80-2.88
3 Te 0.0499 0.0499 0.0000  2 Ta 2.80, 4 Mg 2.92
4 Te 0.7894 0.2894 0.5000  4 Ta 2.88, 2 Mg 3.01

=====

[2]
Crystalline MgTaTe3 at its relaxed geometry. Source: Alexandria via LeMat-Bulk, functional PBE-GGA.

Results
Density of states at the Fermi level ... 2.0864 states/eV per atom
Calculated volume ... 28.95 A^3/atom
Total DFT energy (no corrections) ... -17.72 eV/cell
Formation energy from raw total energies ... 1031 meV/atom
Size of the total moment ... 0.00 μB per cell

Cell lengths 5.2507, 5.2507, 5.2507 Å; angles 90.00, 90.00, 90.00 degrees
Closest atoms and distances in Å follow each position.
Sites, in units of the cell vectors:
1 Mg 0.0000 0.0000 0.0000  6 Te 2.63
2 Te 0.0000 0.5000 0.0000  2 Mg 2.63
3 Te 0.0000 0.0000 0.5000  2 Mg 2.63
4 Te 0.5000 0.0000 0.0000  2 Mg 2.63
5 Ta 0.5000 0.5000 0.5000  12 Te 3.71

=====

[3]
Crystalline MgTa3Te at its relaxed geometry. Source: Alexandria via LeMat-Bulk, functional PBE-GGA.

Results
Density of states at the Fermi level ... 1.4037 states/eV per atom
Calculated volume ... 25.39 A^3/atom
Total DFT energy (no corrections) ... -32.17 eV/cell
Formation energy from raw total energies ... 1625 meV/atom
Size of the total moment ... 0.00 μB per cell

Cell lengths 5.0261, 5.0261, 5.0261 Å; angles 90.00, 90.00, 90.00 degrees
Closest atoms and distances in Å follow each position.
Sites, in units of the cell vectors:
1 Mg 0.5000 0.5000 0.5000  12 Ta 3.55
2 Te 0.0000 0.0000 0.0000  6 Ta 2.51
3 Ta 0.0000 0.5000 0.0000  2 Te 2.51
4 Ta 0.0000 0.0000 0.5000  2 Te 2.51
5 Ta 0.5000 0.0000 0.0000  2 Te 2.51

=====

[4]
Crystalline MgTaTe4 at its relaxed geometry. Source: Alexandria via LeMat-Bulk, functional PBE-GGA.

Results
Density of states at the Fermi level ... 0.8893 states/eV per atom
Calculated volume ... 28.46 A^3/atom
Total DFT energy (no corrections) ... -20.15 eV/cell
Formation energy from raw total energies ... 977 meV/atom
Size of the total moment ... 2.73 μB per cell

Cell lengths 6.2272, 6.2272, 6.2272 Å; angles 60.00, 60.00, 60.00 degrees
Closest atoms and distances in Å follow each position.
Sites, in units of the cell vectors:
1 Mg 0.2500 0.2500 0.2500  12 Te 3.65, 4 Ta 3.81
2 Ta 0.0000 0.0000 0.0000  12 Te 3.65, 4 Mg 3.81
3 Te 0.1236 0.6255 0.6255  6 Te 3.10-3.13
4 Te 0.6255 0.6255 0.6255  6 Te 3.10-3.13
5 Te 0.6255 0.1236 0.6255  6 Te 3.10-3.13
6 Te 0.6255 0.6255 0.1236  6 Te 3.10-3.13

=====

[5]
Crystalline MgTaTe at its relaxed geometry. Source: Alexandria via LeMat-Bulk, functional PBE-GGA.

Results
Density of states at the Fermi level ... 0.6290 states/eV per atom
Calculated volume ... 21.19 A^3/atom
Total DFT energy (no corrections) ... -15.60 eV/cell
Formation energy from raw total energies ... 329 meV/atom
Size of the total moment ... 0.00 μB per cell

Cell lengths 4.9930, 4.9930, 2.9439 Å; angles 90.00, 90.00, 120.00 degrees
Closest atoms and distances in Å follow each position.
Sites, in units of the cell vectors:
1 Mg 0.0000 0.0000 0.9992  2 Mg 2.94, 6 Te 3.23-3.24, 6 Ta 3.24
2 Ta 0.6667 0.3333 0.5000  3 Te 2.88, 2 Ta 2.94
3 Te 0.3333 0.6667 0.5008  3 Ta 2.88, 2 Te 2.94

=====

[6]
Crystalline MgTaTe at its relaxed geometry. Source: Alexandria via LeMat-Bulk, functional PBE-GGA.

Results
Density of states at the Fermi level ... 1.0681 states/eV per atom
Calculated volume ... 24.45 A^3/atom
Total DFT energy (no corrections) ... -14.53 eV/cell
Formation energy from raw total energies ... 686 meV/atom
Size of the total moment ... 0.87 μB per cell

Cell lengths 4.6988, 4.6988, 4.6988 Å; angles 60.00, 60.00, 60.00 degrees
Closest atoms and distances in Å follow each position.
Sites, in units of the cell vectors:
1 Mg 0.5000 0.5000 0.5000  4 Ta 2.88
2 Ta 0.7500 0.7500 0.7500  4 Mg 2.88, 4 Te 2.88
3 Te 0.0000 0.0000 0.0000  4 Ta 2.88